1.
Material: CeTm2AgHg4
Method: DFT, GGA-PBE
State: optimized geometry

Results
Its formation energy is -0.3170 eV/atom. For the raw total energy, the calculation gives -2.684 eV/atom. The total magnetization is 1.09 μB per formula unit. The value obtained for the density is 11.64 Mg/m³.

Lattice parameters (Å, degrees): 9.4257 9.4257 9.4257 31.09 31.09 31.09
Closest atoms and distances in Å follow each position.
Sites, in units of the cell vectors:
Ce (0.0000, 0.0000, 0.0000)  8 Hg 3.20-3.37
Tm (0.2401, 0.2401, 0.2401)  7 Hg 3.04-3.15
Tm (0.7599, 0.7599, 0.7599)  7 Hg 3.04-3.15
Ag (0.5000, 0.5000, 0.5000)  8 Hg 3.12-3.17
Hg (0.1254, 0.1254, 0.1254)  4 Tm 3.04-3.08, 3 Ag 3.12, 1 Ce 3.37
Hg (0.3820, 0.3820, 0.3820)  3 Tm 3.15, 1 Ag 3.17, 3 Ce 3.20
Hg (0.6180, 0.6180, 0.6180)  3 Tm 3.15, 1 Ag 3.17, 3 Ce 3.20
Hg (0.8746, 0.8746, 0.8746)  4 Tm 3.04-3.08, 3 Ag 3.12, 1 Ce 3.37

---

2.
Material: Pr6Cd5Au
Method: DFT, GGA-PBE
State: optimized geometry

Results
Its formation energy is -0.3837 eV/atom. For the raw total energy, the calculation gives -3.428 eV/atom. The total magnetization is 1.04 μB per formula unit. The value obtained for the density is 7.74 Mg/m³.

Lattice parameters (Å, degrees): 9.4509 9.4509 9.4509 146.53 131.72 60.02
Closest atoms and distances in Å follow each position.
Sites, in units of the cell vectors:
Pr (0.0814, 0.3383, 0.7431)  1 Au 3.25, 7 Cd 3.29-3.37
Pr (0.2396, 0.0000, 0.2396)  2 Au 3.29, 6 Cd 3.39-3.46
Pr (0.4049, 0.6617, 0.7431)  1 Au 3.25, 7 Cd 3.29-3.37
Pr (0.5951, 0.3383, 0.2569)  1 Au 3.25, 7 Cd 3.29-3.37
Pr (0.7604, 0.0000, 0.7604)  2 Au 3.29, 6 Cd 3.39-3.46
Pr (0.9186, 0.6617, 0.2569)  1 Au 3.25, 7 Cd 3.29-3.37
Cd (0.1782, 0.1782, 0.0000)  8 Pr 3.29-3.46
Cd (0.3322, 0.8322, 0.5000)  8 Pr 3.36-3.41, 2 Cd 3.71
Cd (0.5000, 0.5000, 0.0000)  8 Pr 3.31-3.39
Cd (0.6678, 0.1678, 0.5000)  8 Pr 3.36-3.41, 2 Cd 3.71
Cd (0.8218, 0.8218, 0.0000)  8 Pr 3.29-3.46
Au (0.0000, 0.5000, 0.5000)  8 Pr 3.25-3.29

---

3.
Material: AlReAs2
Method: DFT, GGA-PBE
State: optimized geometry

Results
Its formation energy is 0.0450 eV/atom. For the raw total energy, the calculation gives -6.327 eV/atom. The total magnetization is 0.00 μB per formula unit. The value obtained for the density is 8.39 Mg/m³. The value obtained for the energy above the most stable polymorph in this dataset is 11.7 meV/atom.

Lattice parameters (Å, degrees): 2.9718 2.9718 28.1769 90.00 90.00 120.00
Closest atoms and distances in Å follow each position.
Sites, in units of the cell vectors:
Al (0.0000, 0.0000, 0.0000)  3 Re 2.71, 3 As 2.72, 6 Al 2.97
Al (0.3333, 0.6667, 0.6667)  3 Re 2.71, 3 As 2.72, 6 Al 2.97
Al (0.6667, 0.3333, 0.3333)  3 Re 2.71, 3 As 2.72, 6 Al 2.97
Re (0.0000, 0.0000, 0.2591)  3 As 2.55, 3 Al 2.71
Re (0.3333, 0.6667, 0.9258)  3 As 2.55, 3 Al 2.71
Re (0.6667, 0.3333, 0.5924)  3 As 2.55, 3 Al 2.71
As (0.0000, 0.0000, 0.5254)  3 Re 2.55
As (0.0000, 0.0000, 0.7414)  3 Al 2.72, 6 As 2.97
As (0.3333, 0.6667, 0.1920)  3 Re 2.55
As (0.3333, 0.6667, 0.4081)  3 Al 2.72, 6 As 2.97
As (0.6667, 0.3333, 0.0747)  3 Al 2.72, 6 As 2.97
As (0.6667, 0.3333, 0.8587)  3 Re 2.55

---

4.
Material: PmGa4Ir
Method: DFT, GGA-PBE
State: optimized geometry

Results
Its formation energy is -0.5746 eV/atom. For the raw total energy, the calculation gives -4.861 eV/atom. The total magnetization is 0.00 μB per formula unit. The value obtained for the density is 9.08 Mg/m³. The value obtained for the energy above the most stable polymorph in this dataset is 45.2 meV/atom.

Lattice parameters (Å, degrees): 7.7131 4.1479 7.0426 90.00 90.00 90.00
Closest atoms and distances in Å follow each position.
Sites, in units of the cell vectors:
Pm (0.2500, 0.0000, 0.1333)  1 Ir 3.01, 12 Ga 3.07-3.35
Pm (0.7500, 0.0000, 0.8667)  1 Ir 3.01, 12 Ga 3.07-3.35
Ga (0.0000, 0.0000, 0.5000)  2 Ir 2.41
Ga (0.0629, 0.5000, 0.8214)  2 Ir 2.66, 3 Ga 2.70-2.96
Ga (0.2500, 0.5000, 0.4541)  2 Ir 2.73, 6 Ga 2.85-2.96
Ga (0.4371, 0.5000, 0.8214)  2 Ir 2.66, 3 Ga 2.70-2.96
Ga (0.5000, 0.0000, 0.5000)  2 Ir 2.41
Ga (0.5629, 0.5000, 0.1786)  2 Ir 2.66, 3 Ga 2.70-2.96
Ga (0.7500, 0.5000, 0.5459)  2 Ir 2.73, 6 Ga 2.85-2.96
Ga (0.9371, 0.5000, 0.1786)  2 Ir 2.66, 3 Ga 2.70-2.96
Ir (0.2500, 0.0000, 0.7054)  6 Ga 2.41-2.66
Ir (0.7500, 0.0000, 0.2946)  6 Ga 2.41-2.66

---

5.
Material: Pm6Zn3Cd
Method: DFT, GGA-PBE
State: optimized geometry

Results
Its formation energy is -0.2075 eV/atom. For the raw total energy, the calculation gives -3.532 eV/atom. The total magnetization is 0.00 μB per formula unit. The value obtained for the density is 7.27 Mg/m³.

Lattice parameters (Å, degrees): 9.3923 5.2065 11.5252 90.00 107.10 90.00
Closest atoms and distances in Å follow each position.
Sites, in units of the cell vectors:
Pm (0.0390, 0.2500, 0.4079)  6 Zn 3.11-3.37, 1 Pm 3.45
Pm (0.1495, 0.7500, 0.1829)  5 Zn 3.08-3.34, 1 Cd 3.33
Pm (0.2255, 0.2500, 0.9928)  4 Zn 3.08-3.22, 3 Cd 3.35-3.42
Pm (0.3225, 0.7500, 0.7963)  3 Zn 3.14-3.21, 3 Cd 3.25-3.36, 2 Pm 3.46
Pm (0.3762, 0.2500, 0.3452)  6 Pm 3.16-3.53, 3 Zn 3.30-3.32
Pm (0.3950, 0.2500, 0.6236)  3 Zn 3.07-3.13, 3 Pm 3.16-3.33, 1 Cd 3.18
Pm (0.6050, 0.7500, 0.3764)  3 Zn 3.07-3.13, 3 Pm 3.16-3.33, 1 Cd 3.18
Pm (0.6238, 0.7500, 0.6548)  6 Pm 3.16-3.53, 3 Zn 3.30-3.32
Pm (0.6775, 0.2500, 0.2037)  3 Zn 3.14-3.21, 3 Cd 3.25-3.36, 2 Pm 3.46
Pm (0.7745, 0.7500, 0.0072)  4 Zn 3.08-3.22, 3 Cd 3.35-3.42
Pm (0.8505, 0.2500, 0.8171)  5 Zn 3.08-3.34, 1 Cd 3.33
Pm (0.9610, 0.7500, 0.5921)  6 Zn 3.11-3.37, 1 Pm 3.45
Zn (0.0334, 0.7500, 0.8802)  8 Pm 3.09-3.34
Zn (0.1174, 0.2500, 0.7130)  8 Pm 3.07-3.37
Zn (0.2738, 0.7500, 0.4774)  8 Pm 3.13-3.35
Zn (0.7262, 0.2500, 0.5226)  8 Pm 3.13-3.35
Zn (0.8826, 0.7500, 0.2870)  8 Pm 3.07-3.37
Zn (0.9666, 0.2500, 0.1198)  8 Pm 3.09-3.34
Cd (0.4542, 0.7500, 0.0907)  8 Pm 3.18-3.42
Cd (0.5458, 0.2500, 0.9093)  8 Pm 3.18-3.42

---

6.
Material: Ce2FeH6Ru
Method: DFT, GGA-PBE
State: optimized geometry

Results
For the raw total energy, the calculation gives -5.336 eV/atom. The total magnetization is 1.13 μB per formula unit. The value obtained for the density is 7.56 Mg/m³.

Lattice parameters (Å, degrees): 5.1638 5.1638 5.1638 120.08 119.89 90.02
Closest atoms and distances in Å follow each position.
Sites, in units of the cell vectors:
Ce (0.2501, 0.2501, 0.0000)  12 H 2.58-2.59
Ce (0.7499, 0.7499, 0.0000)  12 H 2.58-2.59
Fe (0.5000, 0.0000, 0.5000)  6 H 1.77-1.78
H (0.2570, 0.2435, 0.5005)  1 Fe 1.78, 1 Ru 1.88
H (0.2570, 0.7565, 0.0136)  1 Fe 1.78, 1 Ru 1.88
H (0.2570, 0.7570, 0.5000)  1 Fe 1.77, 1 Ru 1.88
H (0.7430, 0.2430, 0.5000)  1 Fe 1.77, 1 Ru 1.88
H (0.7430, 0.2435, 0.9864)  1 Fe 1.78, 1 Ru 1.88
H (0.7430, 0.7565, 0.4995)  1 Fe 1.78, 1 Ru 1.88
Ru (0.0000, 0.5000, 0.5000)  6 H 1.88